# 1
A plane-wave DFT calculation with GGA-PBE was carried out for crystalline Pr2Zn12Cu3Au at its relaxed geometry.

Values from the calculation:
The formation energy comes out at -4.0 kJ/mol of atoms. The electronic total energy comes out at -123.5 eV per cell.

abc: 6.1195 6.1195 30.7963
angles: 90.00 90.00 120.00
Space group R-3m (No. 166, hexagonal axes)
Symmetry-distinct sites (fractional):
1 Pr 0.0000 0.0000 0.1405 [6 per cell]
2 Zn 0.0113 0.5056 0.8966 [18 per cell]
3 Zn 0.0576 0.5288 0.6191 [18 per cell]
4 Cu 0.0000 0.5000 0.0000 [9 per cell]
5 Au 0.0000 0.0000 0.5000 [3 per cell]



# 2
A plane-wave DFT calculation with GGA-PBE was carried out for crystalline Pm4H2CO at its relaxed geometry.

Values from the calculation:
The electronic total energy comes out at -47.7 eV per cell.

abc: 6.261 3.662 6.294
angles: 90.00 109.61 90.00
Space group P2/m (No. 10)
Symmetry-distinct sites (fractional):
1 Pm 0.243 0.000 0.230 [2 per cell]
2 Pm 0.254 0.500 0.765 [2 per cell]
3 H 0.000 0.000 0.500 [1 per cell]
4 H 0.500 0.500 0.500 [1 per cell]
5 C 0.500 0.000 0.000 [1 per cell]
6 O 0.000 0.500 0.000 [1 per cell]



# 3
A plane-wave DFT calculation with GGA-PBE was carried out for crystalline NdCoGe at its relaxed geometry.

Values from the calculation:
The formation energy comes out at -58.3 kJ/mol of atoms. The electronic total energy comes out at -36.6 eV per cell.

abc: 4.160 4.160 6.873
angles: 90.00 90.00 90.00
Space group P4/nmm (No. 129, origin choice 2)
Symmetry-distinct sites (fractional):
1 Nd 0.250 0.250 0.190 [2 per cell]
2 Co 0.250 0.750 0.500 [2 per cell]
3 Ge 0.250 0.250 0.685 [2 per cell]



# 4
A plane-wave DFT calculation with GGA-PBE was carried out for crystalline Zr2Mn3Co at its relaxed geometry.

Values from the calculation:
The formation energy comes out at -20.1 kJ/mol of atoms. The electronic total energy comes out at -105.9 eV per cell.

abc: 8.402 4.856 5.042
angles: 90.00 123.90 90.00
Space group C2/m (No. 12)
Symmetry-distinct sites (fractional):
1 Zr 0.123 0.000 0.369 [4 per cell]
2 Mn 0.000 0.500 0.000 [2 per cell]
3 Mn 0.250 0.250 0.000 [4 per cell]
4 Co 0.000 0.500 0.500 [2 per cell]



# 5
A plane-wave DFT calculation with GGA-PBE was carried out for crystalline Er2Si3Pt5 at its relaxed geometry.

Values from the calculation:
For the uncorrected formation energy, the calculation gives -1.036 eV/atom. The electronic total energy comes out at -263.8 eV per cell.

abc: 4.261 23.324 6.804
angles: 90.00 90.00 90.00
Space group Cmc2_1 (No. 36)
Symmetry-distinct sites (fractional):
1 Er 0.000 0.021 0.000 [4 per cell]
2 Er 0.000 0.326 0.021 [4 per cell]
3 Si 0.000 0.101 0.673 [4 per cell]
4 Si 0.000 0.273 0.588 [4 per cell]
5 Si 0.000 0.447 0.807 [4 per cell]
6 Pt 0.000 0.107 0.307 [4 per cell]
7 Pt 0.000 0.191 0.860 [4 per cell]
8 Pt 0.000 0.227 0.274 [4 per cell]
9 Pt 0.000 0.376 0.532 [4 per cell]
10 Pt 0.000 0.451 0.200 [4 per cell]



# 6
A plane-wave DFT calculation with GGA-PBE was carried out for crystalline KTeI4 at its relaxed geometry.

Values from the calculation:
The calculation puts the relative energy among the computed polymorphs at 0.034 eV/atom. For the uncorrected formation energy, the calculation gives -0.478 eV/atom. The electronic total energy comes out at -26.6 eV per cell.

abc: 6.663 12.707 8.431
angles: 90.00 103.99 90.00
Space group P2_1/m (No. 11)
Symmetry-distinct sites (fractional):
1 K 0.144 0.250 0.168 [2 per cell]
2 Te 0.220 0.750 0.385 [2 per cell]
3 I 0.149 0.576 0.160 [4 per cell]
4 I 0.277 0.250 0.603 [2 per cell]
5 I 0.332 0.750 0.748 [2 per cell]



# 7
A plane-wave DFT calculation with GGA-PBE was carried out for crystalline TbPm4Nd2Sm at its relaxed geometry.

Values from the calculation:
The formation energy comes out at 36.7 kJ/mol of atoms. The electronic total energy comes out at -139.4 eV per cell.

abc: 13.846 13.366 6.931
angles: 90.00 119.83 90.00
Space group C2/c (No. 15)
Symmetry-distinct sites (fractional):
1 Tb 0.000 0.000 0.000 [4 per cell]
2 Pm 0.014 0.247 0.015 [8 per cell]
3 Pm 0.247 0.000 0.455 [8 per cell]
4 Nd 0.000 0.500 0.000 [4 per cell]
5 Nd 0.250 0.250 0.000 [4 per cell]
6 Sm 0.250 0.250 0.500 [4 per cell]



# 8
A plane-wave DFT calculation with GGA-PBE was carried out for crystalline SmErAlGe at its relaxed geometry.

Values from the calculation:
The formation energy comes out at -65.5 kJ/mol of atoms. The electronic total energy comes out at -40.7 eV per cell.

abc: 4.041 4.408 10.941
angles: 90.00 90.00 90.00
Space group Amm2 (No. 38)
Symmetry-distinct sites (fractional):
1 Sm 0.000 0.000 0.000 [2 per cell]
2 Er 0.500 0.000 0.282 [2 per cell]
3 Al 0.000 0.000 0.717 [2 per cell]
4 Ge 0.500 0.000 0.565 [2 per cell]



# 9
A plane-wave DFT calculation with GGA-PBE was carried out for crystalline ReP2Pt at its relaxed geometry.

Values from the calculation:
The calculation puts the relative energy among the computed polymorphs at 0.835 eV/atom. The formation energy comes out at 59.4 kJ/mol of atoms. The electronic total energy comes out at -107.4 eV per cell.

abc: 6.192 6.192 6.192
angles: 90.00 90.00 90.00
Space group F-43m (No. 216)
Symmetry-distinct sites (fractional):
1 Re 0.000 0.000 0.000 [4 per cell]
2 P 0.000 0.000 0.500 [4 per cell]
3 P 0.250 0.250 0.250 [4 per cell]
4 Pt 0.250 0.250 0.750 [4 per cell]



# 10
A plane-wave DFT calculation with GGA-PBE was carried out for crystalline Rb2GaSnI5 at its relaxed geometry.

Values from the calculation:
For the uncorrected formation energy, the calculation gives -0.891 eV/atom. The electronic total energy comes out at -98.9 eV per cell.

abc: 4.876 20.839 16.667
angles: 90.00 90.00 90.00
Space group Cmc2_1 (No. 36)
Symmetry-distinct sites (fractional):
1 Rb 0.000 0.089 0.000 [4 per cell]
2 Rb 0.000 0.133 0.648 [4 per cell]
3 Ga 0.000 0.459 0.798 [4 per cell]
4 Sn 0.000 0.223 0.375 [4 per cell]
5 I 0.000 0.077 0.416 [4 per cell]
6 I 0.000 0.264 0.009 [4 per cell]
7 I 0.000 0.302 0.751 [4 per cell]
8 I 0.000 0.376 0.333 [4 per cell]
9 I 0.000 0.500 0.117 [4 per cell]



# 11
A plane-wave DFT calculation with GGA-PBE was carried out for crystalline SrSb2Cl at its relaxed geometry.

Values from the calculation:
The calculation puts the relative energy among the computed polymorphs at 0.689 eV/atom. For the uncorrected formation energy, the calculation gives -0.348 eV/atom. The electronic total energy comes out at -13.2 eV per cell.

abc: 5.752 5.752 3.563
angles: 90.00 90.00 90.00
Space group P4/mmm (No. 123)
Symmetry-distinct sites (fractional):
1 Sr 0.000 0.000 0.000 [1 per cell]
2 Sb 0.000 0.500 0.500 [2 per cell]
3 Cl 0.500 0.500 0.000 [1 per cell]



# 12
A plane-wave DFT calculation with GGA-PBE was carried out for crystalline SmBIr2 at its relaxed geometry.

Values from the calculation:
The formation energy comes out at 0.5 kJ/mol of atoms. The electronic total energy comes out at -29.1 eV per cell.

abc: 4.2076 4.2076 4.9079
angles: 90.00 90.00 120.00
Space group P6/mmm (No. 191)
Symmetry-distinct sites (fractional):
1 Sm 0.0000 0.0000 0.0000 [1 per cell]
2 B 0.0000 0.0000 0.5000 [1 per cell]
3 Ir 0.3333 0.6667 0.5000 [2 per cell]



# 13
A plane-wave DFT calculation with GGA-PBE was carried out for crystalline Mg4ZnCd5 at its relaxed geometry.

Values from the calculation:
The calculation puts the relative energy among the computed polymorphs at 0.000 eV/atom. The formation energy comes out at -5.1 kJ/mol of atoms. The electronic total energy comes out at -25.5 eV per cell.

abc: 14.351 4.981 6.119
angles: 90.00 104.81 90.00
Space group C2/m (No. 12)
Symmetry-distinct sites (fractional):
1 Mg 0.095 0.000 0.411 [4 per cell]
2 Mg 0.194 0.500 0.787 [4 per cell]
3 Zn 0.000 0.500 0.500 [2 per cell]
4 Cd 0.000 0.500 0.000 [2 per cell]
5 Cd 0.104 0.000 0.913 [4 per cell]
6 Cd 0.201 0.500 0.301 [4 per cell]



# 14
A plane-wave DFT calculation with GGA-PBE was carried out for crystalline LiPaBiAu at its relaxed geometry.

Values from the calculation:
The formation energy comes out at -24.4 kJ/mol of atoms. The electronic total energy comes out at -78.3 eV per cell.

abc: 7.253 7.253 7.253
angles: 90.00 90.00 90.00
Space group F-43m (No. 216)
Symmetry-distinct sites (fractional):
1 Li 0.000 0.000 0.000 [4 per cell]
2 Pa 0.000 0.000 0.500 [4 per cell]
3 Bi 0.250 0.250 0.750 [4 per cell]
4 Au 0.250 0.250 0.250 [4 per cell]



# 15
A plane-wave DFT calculation with GGA-PBE was carried out for crystalline HgSe2BrN at its relaxed geometry.

Values from the calculation:
The calculation puts the relative energy among the computed polymorphs at 0.549 eV/atom. For the uncorrected formation energy, the calculation gives 1.501 eV/atom. The electronic total energy comes out at -9.8 eV per cell.

abc: 5.377 5.377 5.794
angles: 90.00 90.00 90.00
Space group P4/mmm (No. 123)
Symmetry-distinct sites (fractional):
1 Hg 0.000 0.000 0.000 [1 per cell]
2 Se 0.000 0.500 0.000 [2 per cell]
3 Br 0.000 0.000 0.500 [1 per cell]
4 N 0.500 0.500 0.500 [1 per cell]



# 16
A plane-wave DFT calculation with GGA-PBE was carried out for crystalline GaPtI2 at its relaxed geometry.

Values from the calculation:
The calculation puts the relative energy among the computed polymorphs at 0.324 eV/atom. For the uncorrected formation energy, the calculation gives 0.479 eV/atom. The electronic total energy comes out at -41.0 eV per cell.

abc: 7.418 7.418 7.418
angles: 90.00 90.00 90.00
Space group Fm-3m (No. 225)
Symmetry-distinct sites (fractional):
1 Ga 0.000 0.000 0.000 [4 per cell]
2 Pt 0.000 0.000 0.500 [4 per cell]
3 I 0.250 0.250 0.250 [8 per cell]



# 17
A plane-wave DFT calculation with GGA-PBE was carried out for crystalline NaIn4Hg8 at its relaxed geometry.

Values from the calculation:
The calculation puts the relative energy among the computed polymorphs at 0.026 eV/atom. The formation energy comes out at 1.0 kJ/mol of atoms. The electronic total energy comes out at -43.7 eV per cell.

abc: 7.5454 7.5454 22.2605
angles: 90.00 90.00 120.00
Space group R-3m (No. 166, hexagonal axes)
Symmetry-distinct sites (fractional):
1 Na 0.0000 0.0000 0.0000 [3 per cell]
2 In 0.0000 0.0000 0.5000 [3 per cell]
3 In 0.0000 0.5000 0.0000 [9 per cell]
4 Hg 0.0000 0.0000 0.2267 [6 per cell]
5 Hg 0.0537 0.5268 0.7709 [18 per cell]



# 18
A plane-wave DFT calculation with GGA-PBE was carried out for crystalline SrYB2O6 at its relaxed geometry.

Values from the calculation:
For the uncorrected formation energy, the calculation gives -2.735 eV/atom. The electronic total energy comes out at -314.4 eV per cell.

abc: 8.077 10.033 6.849
angles: 90.00 108.18 90.00
Space group C2/c (No. 15)
Symmetry-distinct sites (fractional):
1 Sr 0.000 0.127 0.250 [4 per cell]
2 Y 0.000 0.421 0.750 [4 per cell]
3 B 0.242 0.362 0.251 [8 per cell]
4 O 0.086 0.383 0.096 [8 per cell]
5 O 0.188 0.033 0.623 [8 per cell]
6 O 0.192 0.265 0.715 [8 per cell]



# 19
A plane-wave DFT calculation with GGA-PBE was carried out for crystalline CaY2Pb9 at its relaxed geometry.

Values from the calculation:
The formation energy comes out at -29.5 kJ/mol of atoms. The electronic total energy comes out at -52.0 eV per cell.

abc: 4.943 4.943 14.460
angles: 90.00 90.00 90.00
Space group P4/mmm (No. 123)
Symmetry-distinct sites (fractional):
1 Ca 0.000 0.000 0.000 [1 per cell]
2 Y 0.000 0.000 0.338 [2 per cell]
3 Pb 0.000 0.500 0.169 [4 per cell]
4 Pb 0.000 0.500 0.500 [2 per cell]
5 Pb 0.500 0.500 0.000 [1 per cell]
6 Pb 0.500 0.500 0.334 [2 per cell]



# 20
A plane-wave DFT calculation with GGA-PBE was carried out for crystalline K2MnTl at its relaxed geometry.

Values from the calculation:
The calculation puts the relative energy among the computed polymorphs at 0.291 eV/atom. The formation energy comes out at 61.0 kJ/mol of atoms. The electronic total energy comes out at -33.6 eV per cell.

abc: 3.6862 3.6862 36.6995
angles: 90.00 90.00 120.00
Space group R-3m (No. 166, hexagonal axes)
Symmetry-distinct sites (fractional):
1 K 0.0000 0.0000 0.2491 [6 per cell]
2 Mn 0.0000 0.0000 0.5000 [3 per cell]
3 Tl 0.0000 0.0000 0.0000 [3 per cell]